NiAg2Pd | PBE | relaxed

Electronic total energy in Ha/atom: -0.1476
Space group: P4/mmm
Energy of formation from the pure elements in kJ per mole of atoms: 14.8
Energy above the most stable polymorph in this dataset in eV/atom: 0.000
Calculated density in Mg/m³: 10.14
Crystal system: tetragonal
DOS at the Fermi energy in states/eV/cell: 6.177

Structure (POSCAR):
```
NiAg2Pd
1.0
3.9247 0.0000 0.0000
0.0000 3.9247 0.0000
0.0000 0.0000 4.0488
Ni Ag Pd
1 2 1
Direct
0.0000 0.0000 0.0000
0.0000 0.5000 0.5000
0.5000 0.0000 0.5000
0.5000 0.5000 0.0000
```